Entry 1:
A plane-wave DFT calculation with PBE-GGA was carried out for a relaxed Sb3AsAu crystal.

```
5
Lattice="5.336 0.000 0.000 0.000 5.336 0.000 0.000 0.000 5.336" Properties=species:S:1:pos:R:3 pbc="T T T"
Sb 0.000 2.668 0.000
Sb 0.000 0.000 2.668
Au 2.668 2.668 2.668
Sb 2.668 0.000 0.000
As 0.000 0.000 0.000
```

Summary:
SG   No. 221
E_form (uncorrected)   815 meV/atom
Calculated density   6966 kg/m³
E   -3.244 eV/atom



Entry 2:
A plane-wave DFT calculation with PBE-GGA was carried out for a relaxed Sb2As2Au crystal.

```
10
Lattice="-3.894 4.216 -5.489 -6.824 -3.389 2.239 -0.559 2.814 2.557" Properties=species:S:1:pos:R:3 pbc="T T T"
Sb -3.883 2.257 -3.331
Au 0.000 0.000 0.000
As -2.657 2.397 -0.330
Au -5.359 0.413 -1.625
As -5.267 -0.166 1.920
Sb -2.883 -0.321 -0.276
Sb -6.835 -1.430 0.081
Sb -7.835 1.148 -2.974
As -6.010 3.807 -2.613
As -8.620 1.244 -0.363
```

Summary:
SG   No. 127
E_form (uncorrected)   275 meV/atom
Calculated density   8089 kg/m³
E   -3.889 eV/atom



The highest E_form (uncorrected) belongs to which entry? Sb3AsAu



The lowest calculated density belongs to which entry? Sb3AsAu



Which of these has the highest calculated density? Sb2As2Au



Number 2 is which compound? Sb2As2Au